A plane-wave DFT calculation with PBE was carried out for an optimized crystal structure of DyMgInIr.

Output
* SG: F-43m
* energy: -4.838 eV per atom
* ΔE_f: -0.389 eV/atom
* volume: 82.0 Å³/f.u.

Unit cell a=4.8764 b=4.8764 c=4.8764 alpha=60.00 beta=60.00 gamma=60.00
With the nearest neighbours (Å) after each atom.
Element x y z (fractional)
Mg 0.2500 0.2500 0.2500  4 Ir 2.99, 4 In 2.99
Ir 0.0000 0.0000 0.0000  4 Dy 2.99, 4 Mg 2.99
In 0.5000 0.5000 0.5000  4 Mg 2.99, 4 Dy 2.99
Dy 0.7500 0.7500 0.7500  4 In 2.99, 4 Ir 2.99



A plane-wave DFT calculation with PBE was carried out for an optimized crystal structure of ZrTa2CrPd.

Output
* SG: P4/mmm
* energy: -8.621 eV per atom
* offset from the most stable computed form: 0 meV/atom
* ΔE_f: 0.793 eV/atom
* volume: 99.4 Å³/f.u.

Unit cell a=4.5512 b=4.7972 c=4.5512 alpha=90.00 beta=90.00 gamma=90.00
With the nearest neighbours (Å) after each atom.
Element x y z (fractional)
Cr 0.0000 0.0000 0.0000  4 Ta 2.28, 2 Zr 2.40
Zr 0.0000 0.5000 0.0000  2 Cr 2.40
Pd 0.5000 0.5000 0.5000  4 Zr 3.22, 8 Ta 3.31
Ta 0.0000 0.0000 0.5000  2 Cr 2.28
Ta 0.5000 0.0000 0.0000  2 Cr 2.28



A plane-wave DFT calculation with PBE was carried out for an optimized crystal structure of PrSmScAg.

Output
* SG: F-43m
* energy: -4.628 eV per atom
* offset from the most stable computed form: 138 meV/atom
* ΔE_f: 0.043 eV/atom
* volume: 110.7 Å³/f.u.

Unit cell a=5.3896 b=5.3896 c=5.3896 alpha=60.00 beta=60.00 gamma=60.00
With the nearest neighbours (Å) after each atom.
Element x y z (fractional)
Pr 0.0000 0.0000 0.0000  4 Sc 3.30, 4 Ag 3.30
Sc 0.7500 0.7500 0.7500  4 Sm 3.30, 4 Pr 3.30
Ag 0.2500 0.2500 0.2500  4 Pr 3.30, 4 Sm 3.30
Sm 0.5000 0.5000 0.5000  4 Ag 3.30, 4 Sc 3.30



Which value of ΔE_f does entry 2 give?
0.793 eV/atom



What is the energy in the second record?
-8.621 eV per atom



energy of number 1 (DyMgInIr)?
-4.838 eV per atom